Arrangement a

RbHf2H2 | GGA-PBE | relaxed

Cell lengths 3.9378, 3.9378, 7.8632 Å; angles 75.50, 75.50, 90.00 degrees
Positions (direct):
H 0.2500 0.7500 0.5000
H 0.7500 0.2500 0.5000
Hf 0.7167 0.7167 0.5665
Hf 0.2833 0.2833 0.4335
Rb 0.0000 0.0000 0.0000

***

Arrangement b

RbHf2H2 | GGA-PBE | relaxed

Cell lengths 9.1065, 9.1065, 2.9369 Å; angles 90.00, 90.00, 90.00 degrees
Site moments in Bohr magnetons follow the coordinates.
Positions (direct):
H 0.9257 0.4257 0.5000  0.00
Hf 0.6079 0.1079 0.0000  0.31
Hf 0.1079 0.3921 0.0000  0.31
H 0.5743 0.9257 0.5000  0.00
Rb 0.0000 0.0000 0.0000  0.02
Hf 0.3921 0.8921 0.0000  0.31
Rb 0.5000 0.5000 0.0000  0.02
H 0.4257 0.0743 0.5000  0.00
H 0.0743 0.5743 0.5000  0.00
Hf 0.8921 0.6079 0.0000  0.31

***

Of them, the most stable is arrangement a and the least stable is arrangement b.

***

Arrangement a

RbHf3H | GGA-PBE | relaxed

Cell lengths 5.1335, 5.1335, 5.1335 Å; angles 90.00, 90.00, 90.00 degrees
Site moments in Bohr magnetons follow the coordinates.
Positions (direct):
Hf 0.0000 0.5000 0.0000  0.07
H 0.5000 0.5000 0.5000  0.00
Rb 0.0000 0.0000 0.0000  0.01
Hf 0.0000 0.0000 0.5000  0.07
Hf 0.5000 0.0000 0.0000  0.12

***

Arrangement b

RbHf3H | GGA-PBE | relaxed

Cell lengths 4.6769, 4.6769, 4.6769 Å; angles 90.00, 90.00, 90.00 degrees
Positions (direct):
Hf 0.0000 0.0000 0.5000
Hf 0.5000 0.0000 0.0000
Rb 0.5000 0.5000 0.5000
H 0.0000 0.0000 0.0000
Hf 0.0000 0.5000 0.0000

***

Of them, the most stable is arrangement b and the least stable is arrangement a.

***

Arrangement a

RbHfH2 | GGA-PBE | relaxed

Cell lengths 4.6074, 4.6074, 4.6074 Å; angles 60.00, 60.00, 60.00 degrees
Site moments in Bohr magnetons follow the coordinates.
Positions (direct):
Hf 0.5000 0.5000 0.5000  1.22
H 0.7500 0.7500 0.7500  -0.02
Rb 0.0000 0.0000 0.0000  0.09
H 0.2500 0.2500 0.2500  -0.02

***

Arrangement b

RbHfH2 | GGA-PBE | relaxed

Cell lengths 5.9277, 5.9277, 5.9141 Å; angles 59.92, 59.92, 90.00 degrees
Positions (direct):
H 0.7549 0.1250 0.2500
Rb 0.5000 0.5000 0.0000
H 0.3750 0.2451 0.7500
Hf 0.7500 0.2500 0.5000
Rb 0.2500 0.7500 0.5000
H 0.9951 0.6250 0.2500
Hf 0.0000 0.0000 0.0000
H 0.8750 0.0049 0.7500

***

Of them, the most stable is arrangement b and the least stable is arrangement a.

***

Arrangement a

RbHfHSe2 | GGA-PBE | relaxed

Cell lengths 5.2813, 5.2813, 4.2229 Å; angles 90.00, 90.00, 90.00 degrees
Positions (direct):
Rb 0.5000 0.5000 0.5000
Se 0.5000 0.0000 0.0000
Hf 0.0000 0.0000 0.0000
H 0.0000 0.0000 0.5000
Se 0.0000 0.5000 0.0000

***

Arrangement b

RbHfHSe2 | GGA-PBE | relaxed

Cell lengths 3.8810, 7.6917, 9.3159 Å; angles 108.62, 90.00, 90.00 degrees
Positions (direct):
Se 0.2500 0.2074 0.9824
Se 0.7500 0.7926 0.0176
Hf 0.7500 0.1562 0.1736
Se 0.7500 0.8365 0.6345
H 0.7500 0.4156 0.2288
Rb 0.7500 0.3320 0.7036
Rb 0.2500 0.6680 0.2964
H 0.2500 0.5844 0.7712
Se 0.2500 0.1635 0.3655
Hf 0.2500 0.8438 0.8264

***

Of them, the most stable is arrangement b and the least stable is arrangement a.